Version P
Entry from Alexandria via LeMat-Bulk: crystalline DyHfZn2 at its relaxed geometry (PBE).

POSCAR file:
```
DyHfZn2
1.0
4.853 0.000 0.000
2.426 4.203 0.000
2.426 1.401 3.962
Zn Hf Dy
2 1 1
direct
0.250 0.250 0.250
0.750 0.750 0.750
0.500 0.500 0.500
0.000 0.000 0.000
```

Computed properties:
Density of states at the Fermi level in states/eV per cell: 4.8
Density in Mg/m³: 9.69

=====

Version Q
Entry from Alexandria via LeMat-Bulk: crystalline DyHfZn2 at its relaxed geometry (PBE).

POSCAR file:
```
DyHfZn2
1.0
-2.943 -0.975 -1.461
-0.241 -2.599 2.220
-3.486 4.027 4.336
Zn Dy Hf
2 1 1
direct
0.000 0.000 0.778
0.000 0.000 0.222
0.500 0.500 0.500
0.500 0.500 0.000
```

Computed properties:
Density of states at the Fermi level in states/eV per cell: 3.6
Density in Mg/m³: 9.71

=====

Most stable one: version Q, least stable one: version P.

=====

Version P
Entry from Alexandria via LeMat-Bulk: crystalline DyHf2Zr at its relaxed geometry (PBE).

POSCAR file:
```
DyHf2Zr
1.0
-4.295 -1.606 0.471
1.322 -2.471 3.636
-1.015 3.523 2.763
Hf Dy Zr
2 1 1
direct
0.000 0.500 0.000
0.000 0.000 0.500
0.500 0.500 0.500
0.500 0.000 0.000
```

Computed properties:
Density of states at the Fermi level in states/eV per cell: 5.5
Density in Mg/m³: 10.44

=====

Version Q
Entry from Alexandria via LeMat-Bulk: crystalline DyHf2Zr at its relaxed geometry (PBE).

POSCAR file:
```
DyHf2Zr
1.0
-3.024 -0.884 2.058
-0.840 -2.757 -2.419
3.835 -4.440 3.728
Dy Hf Zr
1 2 1
direct
0.500 0.500 0.500
0.000 0.000 0.787
0.000 0.000 0.213
0.500 0.500 0.000
```

Computed properties:
Density of states at the Fermi level in states/eV per cell: 4.5
Density in Mg/m³: 10.30

=====

Version R
Entry from Alexandria via LeMat-Bulk: crystalline DyHf2Zr at its relaxed geometry (PBE).

POSCAR file:
```
DyHf2Zr
1.0
-3.060 1.112 -0.259
-2.454 -1.635 1.403
-0.529 5.458 9.215
Hf Dy Zr
2 1 1
direct
0.254 0.254 0.237
0.079 0.079 0.762
0.500 0.500 0.500
0.667 0.667 0.000
```

Computed properties:
Density of states at the Fermi level in states/eV per cell: 5.3
Density in Mg/m³: 10.39

=====

Most stable one: version R, least stable one: version P.

=====

Version P
Entry from Alexandria via LeMat-Bulk: crystalline DyHfZr at its relaxed geometry (PBE).

POSCAR file:
```
DyHfZr
1.0
3.224 0.000 0.000
0.000 5.157 0.000
0.000 -2.579 4.466
Dy Zr Hf
1 1 1
direct
0.167 0.667 0.333
0.667 0.333 0.667
0.166 0.000 0.000
```

Computed properties:
Density of states at the Fermi level in states/eV per cell: 4.8
Density in Mg/m³: 9.66

=====

Version Q
Entry from Alexandria via LeMat-Bulk: crystalline DyHfZr at its relaxed geometry (PBE).

POSCAR file:
```
DyHfZr
1.0
-1.333 -0.045 -3.037
1.149 -2.112 -2.285
-5.327 -6.172 0.619
Zr Hf Dy
1 1 1
direct
0.334 0.334 0.999
0.102 0.102 0.693
0.550 0.550 0.351
```

Computed properties:
Density of states at the Fermi level in states/eV per cell: 4.6
Density in Mg/m³: 9.48

=====

Most stable one: version Q, least stable one: version P.

=====

Version P
Entry from Alexandria via LeMat-Bulk: crystalline Dy2Hg3 at its relaxed geometry (PBE).

POSCAR file:
```
Dy2Hg3
1.0
4.947 0.000 0.000
2.474 4.284 0.000
2.474 1.428 5.973
Dy Hg
2 3
direct
0.403 0.403 0.791
0.597 0.597 0.209
0.803 0.803 0.591
0.197 0.197 0.409
0.000 0.000 0.000
```

Computed properties:
Density of states at the Fermi level in states/eV per cell: 2.3
Density in Mg/m³: 12.16

=====

Version Q
Entry from Alexandria via LeMat-Bulk: crystalline Dy2Hg3 at its relaxed geometry (PBE).

POSCAR file:
```
Dy2Hg3
1.0
3.705 0.000 -0.825
-0.184 3.701 -0.825
0.084 0.088 9.104
Hg Dy
3 2
direct
0.000 0.000 0.000
0.202 0.202 0.404
0.798 0.798 0.596
0.605 0.605 0.210
0.395 0.395 0.790
```

Computed properties:
Density of states at the Fermi level in states/eV per cell: 2.2
Density in Mg/m³: 12.27

=====

Most stable one: version Q, least stable one: version P.

=====

Version P
Entry from Alexandria via LeMat-Bulk: crystalline Dy3Hg5 at its relaxed geometry (PBE).

POSCAR file:
```
Dy3Hg5
1.0
5.077 0.000 0.000
0.000 6.382 -0.439
0.000 -1.243 6.275
Hg Dy
5 3
direct
0.000 0.500 0.000
0.000 0.000 0.000
0.500 0.283 0.283
0.000 0.000 0.500
0.500 0.717 0.717
0.000 0.500 0.500
0.500 0.215 0.785
0.500 0.785 0.215
```

Computed properties:
Density of states at the Fermi level in states/eV per cell: 4.8
Density in Mg/m³: 12.34

=====

Version Q
Entry from Alexandria via LeMat-Bulk: crystalline Dy3Hg5 at its relaxed geometry (PBE).

POSCAR file:
```
Dy3Hg5
1.0
6.362 -0.122 0.000
-1.526 6.178 0.000
0.000 0.000 10.188
Hg Dy
10 6
direct
0.292 0.292 0.526
0.963 0.963 0.750
0.966 0.527 0.250
0.708 0.708 0.026
0.473 0.034 0.750
0.034 0.473 0.750
0.292 0.292 0.974
0.708 0.708 0.474
0.037 0.037 0.250
0.527 0.966 0.250
0.560 0.560 0.750
0.213 0.787 0.500
0.787 0.213 0.000
0.440 0.440 0.250
0.787 0.213 0.500
0.213 0.787 0.000
```

Computed properties:
Density of states at the Fermi level in states/eV per cell: 9.6
Density in Mg/m³: 12.42

=====

Most stable one: version Q, least stable one: version P.

=====

Version P
Entry from Alexandria via LeMat-Bulk: crystalline Dy4Hg3 at its relaxed geometry (PBE).

POSCAR file:
```
Dy4Hg3
1.0
4.989 0.000 0.000
2.495 4.321 0.000
2.495 1.440 9.733
Hg Dy
3 4
direct
0.600 0.600 0.199
0.500 0.500 0.500
0.400 0.400 0.801
0.704 0.704 0.889
0.122 0.122 0.635
0.296 0.296 0.111
0.878 0.878 0.365
```

Computed properties:
Density of states at the Fermi level in states/eV per cell: 11.1
Density in Mg/m³: 9.91

=====

Version Q
Entry from Alexandria via LeMat-Bulk: crystalline Dy4Hg3 at its relaxed geometry (PBE).

POSCAR file:
```
Dy4Hg3
1.0
-3.457 -1.577 -3.535
1.623 -1.924 -4.538
-0.482 -8.907 0.636
Dy Hg
4 3
direct
0.873 0.873 0.382
0.127 0.127 0.618
0.621 0.621 0.138
0.379 0.379 0.862
0.752 0.752 0.745
0.000 0.000 0.000
0.248 0.248 0.255
```

Computed properties:
Density of states at the Fermi level in states/eV per cell: 8.2
Density in Mg/m³: 10.58

=====

Most stable one: version Q, least stable one: version P.

=====

Version P
Entry from Alexandria via LeMat-Bulk: crystalline DyHg7 at its relaxed geometry (PBE).

POSCAR file:
```
DyHg7
1.0
6.621 0.000 0.000
3.311 5.734 0.000
3.311 1.911 5.406
Hg Dy
7 1
direct
0.500 0.500 0.500
0.500 0.000 0.000
0.000 0.500 0.000
0.500 0.000 0.500
0.500 0.500 0.000
0.000 0.500 0.500
0.000 0.000 0.500
0.000 0.000 0.000
```

Computed properties:
Density of states at the Fermi level in states/eV per cell: 4.8
Density in Mg/m³: 12.67

=====

Version Q
Entry from Alexandria via LeMat-Bulk: crystalline DyHg7 at its relaxed geometry (PBE).

POSCAR file:
```
DyHg7
1.0
4.448 0.000 -1.092
-0.268 4.440 -1.092
0.100 0.106 10.008
Hg Dy
7 1
direct
0.623 0.123 0.246
0.500 0.500 0.000
0.749 0.749 0.497
0.377 0.877 0.754
0.877 0.377 0.754
0.251 0.251 0.503
0.123 0.623 0.246
0.000 0.000 0.000
```

Computed properties:
Density of states at the Fermi level in states/eV per cell: 3.8
Density in Mg/m³: 13.09

=====

Most stable one: version Q, least stable one: version P.

=====

Version P
Entry from Alexandria via LeMat-Bulk: crystalline DyHo3Hg2 at its relaxed geometry (PBE).

POSCAR file:
```
DyHo3Hg2
1.0
-3.394 -1.939 -3.262
-2.478 -4.202 5.075
-6.043 6.494 2.427
Ho Hg Dy
6 4 2
direct
0.000 0.484 0.945
0.500 0.170 0.826
0.000 0.330 0.325
0.000 0.830 0.675
0.000 0.984 0.055
0.500 0.670 0.174
0.000 0.262 0.649
0.500 0.738 0.851
0.000 0.762 0.351
0.500 0.238 0.149
0.500 0.016 0.445
0.500 0.516 0.555
```

Computed properties:
Density of states at the Fermi level in states/eV per cell: 4.5
Density in Mg/m³: 10.66

=====

Version Q
Entry from Alexandria via LeMat-Bulk: crystalline DyHo3Hg2 at its relaxed geometry (PBE).

POSCAR file:
```
DyHo3Hg2
1.0
-2.469 4.873 4.460
-5.897 1.081 -4.447
0.567 -8.067 3.552
Ho Hg Dy
6 4 2
direct
0.500 0.250 0.000
0.500 0.750 0.000
0.228 0.478 0.456
0.228 0.978 0.456
0.772 0.022 0.544
0.772 0.522 0.544
0.161 0.860 0.719
0.442 0.640 0.281
0.558 0.360 0.719
0.839 0.140 0.281
0.000 0.000 0.000
0.000 0.500 0.000
```

Computed properties:
Density of states at the Fermi level in states/eV per cell: 9.8
Density in Mg/m³: 9.29

=====

Most stable one: version P, least stable one: version Q.